#1
First-principles (PBE) data for an optimized crystal structure of LuInAgAu, as listed in the Open Quantum Materials Database.

Cell and atoms, written as CIF:
```
data_LuInAgAu
_chemical_formula_sum 'Lu4 In4 Ag4 Au4'
_symmetry_space_group_name_H-M 'F -4 3 m'
_symmetry_Int_Tables_number 216
_symmetry_space_group_name_Hall 'F -4 2 3'
_cell_length_a 6.904
_cell_length_b 6.904
_cell_length_c 6.904
_cell_angle_alpha 90.00
_cell_angle_beta 90.00
_cell_angle_gamma 90.00
loop_
_atom_site_label
_atom_site_type_symbol
_atom_site_fract_x
_atom_site_fract_y
_atom_site_fract_z
Lu1 Lu 0.000 0.000 0.000
In1 In 0.250 0.250 0.750
Ag1 Ag 0.250 0.250 0.250
Au1 Au 0.000 0.000 0.500
```

## Properties
The magnetization comes out at 0.00 μB/atom. For the calculated volume, the calculation gives 20.57 Å³/atom.

---

#2
First-principles (PBE) data for an optimized crystal structure of LuInAgAu, as listed in the Open Quantum Materials Database.

Cell and atoms, written as CIF:
```
data_LuInAgAu
_chemical_formula_sum 'Lu4 In4 Ag4 Au4'
_symmetry_space_group_name_H-M 'F -4 3 m'
_symmetry_Int_Tables_number 216
_symmetry_space_group_name_Hall 'F -4 2 3'
_cell_length_a 6.906
_cell_length_b 6.906
_cell_length_c 6.906
_cell_angle_alpha 90.00
_cell_angle_beta 90.00
_cell_angle_gamma 90.00
loop_
_atom_site_label
_atom_site_type_symbol
_atom_site_fract_x
_atom_site_fract_y
_atom_site_fract_z
Lu1 Lu 0.000 0.000 0.000
In1 In 0.000 0.000 0.500
Ag1 Ag 0.250 0.250 0.250
Au1 Au 0.250 0.250 0.750
```

## Properties
The magnetization comes out at 0.00 μB/atom. For the calculated volume, the calculation gives 20.58 Å³/atom.

---

#3
First-principles (PBE) data for an optimized crystal structure of LuInAgAu, as listed in the Open Quantum Materials Database.

Cell and atoms, written as CIF:
```
data_LuInAgAu
_chemical_formula_sum 'Lu4 In4 Ag4 Au4'
_symmetry_space_group_name_H-M 'F -4 3 m'
_symmetry_Int_Tables_number 216
_symmetry_space_group_name_Hall 'F -4 2 3'
_cell_length_a 6.932
_cell_length_b 6.932
_cell_length_c 6.932
_cell_angle_alpha 90.00
_cell_angle_beta 90.00
_cell_angle_gamma 90.00
loop_
_atom_site_label
_atom_site_type_symbol
_atom_site_fract_x
_atom_site_fract_y
_atom_site_fract_z
Lu1 Lu 0.000 0.000 0.000
In1 In 0.250 0.250 0.250
Ag1 Ag 0.000 0.000 0.500
Au1 Au 0.250 0.250 0.750
```

## Properties
The magnetization comes out at 0.00 μB/atom. For the calculated volume, the calculation gives 20.82 Å³/atom.

---

What should be chosen as the most stable of them? Choose #2.

---

#1
First-principles (PBE) data for an optimized crystal structure of YInAgAu, as listed in the Open Quantum Materials Database.

Cell and atoms, written as CIF:
```
data_YInAgAu
_chemical_formula_sum 'Y4 In4 Ag4 Au4'
_symmetry_space_group_name_H-M 'F -4 3 m'
_symmetry_Int_Tables_number 216
_symmetry_space_group_name_Hall 'F -4 2 3'
_cell_length_a 7.020
_cell_length_b 7.020
_cell_length_c 7.020
_cell_angle_alpha 90.00
_cell_angle_beta 90.00
_cell_angle_gamma 90.00
loop_
_atom_site_label
_atom_site_type_symbol
_atom_site_fract_x
_atom_site_fract_y
_atom_site_fract_z
Y1 Y 0.000 0.000 0.000
In1 In 0.250 0.250 0.250
Ag1 Ag 0.000 0.000 0.500
Au1 Au 0.250 0.250 0.750
```

## Properties
The magnetization comes out at 0.00 μB/atom. For the calculated volume, the calculation gives 21.62 Å³/atom.

---

#2
First-principles (PBE) data for an optimized crystal structure of YInAgAu, as listed in the Open Quantum Materials Database.

Cell and atoms, written as CIF:
```
data_YInAgAu
_chemical_formula_sum 'Y4 In4 Ag4 Au4'
_symmetry_space_group_name_H-M 'F -4 3 m'
_symmetry_Int_Tables_number 216
_symmetry_space_group_name_Hall 'F -4 2 3'
_cell_length_a 6.994
_cell_length_b 6.994
_cell_length_c 6.994
_cell_angle_alpha 90.00
_cell_angle_beta 90.00
_cell_angle_gamma 90.00
loop_
_atom_site_label
_atom_site_type_symbol
_atom_site_fract_x
_atom_site_fract_y
_atom_site_fract_z
Y1 Y 0.000 0.000 0.000
In1 In 0.000 0.000 0.500
Ag1 Ag 0.250 0.250 0.250
Au1 Au 0.250 0.250 0.750
```

## Properties
The magnetization comes out at 0.00 μB/atom. For the calculated volume, the calculation gives 21.39 Å³/atom.

---

What should be chosen as the most stable of them? Choose #2.